Entry 1:
## KCa2TlTe (PBE-GGA)

Data for a relaxed structure of KCa2TlTe.

Summary:
The calculated volume is 46.323 Å³/atom. For the uncorrected formation energy, the calculation gives 0.3951 eV/atom. For the final energy, the calculation gives -8.6 eV for the cell shown.

a b c (Å): 6.2405 6.2405 5.9474
angles (deg): 90.00 90.00 90.00
Space group P4/mmm (No. 123)
Asymmetric unit:
K 0.0000 0.0000 0.0000
Ca 0.0000 0.5000 0.0000
Tl 0.5000 0.5000 0.5000
Te 0.0000 0.0000 0.5000

Entry 2:
## K3Ca2UTe6 (PBE-GGA)

Data for a relaxed structure of K3Ca2UTe6.

Summary:
The calculated volume is 36.999 Å³/atom. For the uncorrected formation energy, the calculation gives -1.1871 eV/atom. For the final energy, the calculation gives -103.4 eV for the cell shown.

a b c (Å): 7.9135 13.7042 8.6038
angles (deg): 90.00 107.88 90.00
Space group C2/m (No. 12)
Asymmetric unit:
K 0.0000 0.0000 0.0000
K 0.0000 0.3283 0.0000
Ca 0.0000 0.1661 0.5000
U 0.0000 0.5000 0.5000
Te 0.2271 0.3423 0.7085
Te 0.2439 0.5000 0.2906

Entry 3:
## KCa2TeW (PBE-GGA)

Data for a relaxed structure of KCa2TeW.

Summary:
The calculated volume is 35.894 Å³/atom. For the uncorrected formation energy, the calculation gives 0.3918 eV/atom. For the final energy, the calculation gives -19.2 eV for the cell shown.

a b c (Å): 5.8427 5.8427 5.2573
angles (deg): 90.00 90.00 90.00
Space group P4/mmm (No. 123)
Asymmetric unit:
K 0.0000 0.0000 0.0000
Ca 0.0000 0.5000 0.5000
Te 0.5000 0.5000 0.0000
W 0.5000 0.5000 0.5000